Arrangement a

This record from Alexandria describes crystalline Tb7Dy4Y at its relaxed geometry. The functional is PBE.

a b c (Å): 5.891 11.545 6.693
angles (deg): 83.58 63.89 75.22
Fractional positions:
Tb  0.500  0.000  0.000
Tb  0.061  0.678  0.200
Tb  0.632  0.499  0.236
Tb  0.939  0.322  0.800
Tb  0.368  0.501  0.764
Tb  0.787  0.923  0.502
Tb  0.213  0.077  0.498
Dy  0.363  0.776  0.499
Dy  0.244  0.319  0.192
Dy  0.637  0.224  0.501
Dy  0.756  0.681  0.808
Y  0.000  0.000  0.000

Results
* mass density: 7.78 Mg/m³

Arrangement b

This record from Alexandria describes crystalline Tb7Dy4Y at its relaxed geometry. The functional is PBE.

a b c (Å): 6.815 6.496 11.666
angles (deg): 75.20 50.69 82.30
Fractional positions:
Dy  0.701  0.841  0.687
Dy  0.299  0.159  0.313
Dy  0.519  0.641  0.285
Dy  0.481  0.359  0.715
Tb  0.802  0.514  0.948
Tb  0.939  0.687  0.359
Tb  0.500  0.000  0.000
Tb  0.716  0.193  0.387
Tb  0.284  0.807  0.613
Tb  0.061  0.313  0.641
Tb  0.198  0.486  0.052
Y  0.000  0.000  0.000

Results
* mass density: 7.96 Mg/m³

Here are the energies relative to the best structure, in kJ/mol of atoms: arrangement a 18.9; arrangement b 0.0.

Arrangement a

This record from Alexandria describes crystalline TbDyY at its relaxed geometry. The functional is PBE.

a b c (Å): 4.826 4.826 8.621
angles (deg): 90.00 90.00 90.00
Fractional positions:
Dy  0.500  0.500  0.000
Dy  0.000  0.000  0.000
Tb  0.000  0.500  0.703
Tb  0.500  0.000  0.297
Y  0.000  0.500  0.304
Y  0.500  0.000  0.696

Results
* mass density: 6.79 Mg/m³

Arrangement b

This record from Alexandria describes crystalline TbDyY at its relaxed geometry. The functional is PBE.

a b c (Å): 3.516 5.602 5.602
angles (deg): 120.00 90.00 90.00
Fractional positions:
Dy  0.166  0.000  0.000
Y  0.667  0.667  0.333
Tb  0.167  0.333  0.667

Results
* mass density: 7.13 Mg/m³

Here are the energies relative to the best structure, in kJ/mol of atoms: arrangement a 14.5; arrangement b 0.0.